B2WO6 | PBE with a Hubbard U | relaxed Values from VASP.

The value obtained for the raw total energy is -69.54 eV for the cell shown.

Structure (Quantum ESPRESSO input):
```
&SYSTEM
  ibrav = 0, nat = 9, ntyp = 3
/
ATOMIC_SPECIES
B 10.81 B.upf
W 183.84 W.upf
O 16.00 O.upf
ATOMIC_POSITIONS crystal
B 0.157 0.157 0.298
B 0.843 0.843 0.702
W 0.500 0.500 0.500
O 0.154 0.688 0.700
O 0.312 0.312 0.298
O 0.312 0.846 0.300
O 0.688 0.154 0.700
O 0.688 0.688 0.702
O 0.846 0.312 0.300
CELL_PARAMETERS angstrom
4.421 -2.551 0.000
4.421 2.551 0.000
-0.451 0.000 5.579
```